Entry 1:
{
  "formula": "BeHgTe2",
  "functional": "PBE",
  "state": "optimized geometry",
  "e_above_lowest_polymorph_mev_per_atom": 308,
  "sg": "No. 2",
  "lattice_angstrom": [[-3.9890, -0.5567, -2.7538], [-1.7342, -3.1430, 6.4896], [0.5812, 6.3852, -4.2793]],
  "species": ["Be", "Te", "Te", "Hg"],
  "fractional_positions": [[0.2500, 0.7500, 0.5000], [0.1638, 0.1876, 0.1718], [0.3362, 0.3124, 0.8282], [0.7500, 0.2500, 0.5000]]
}

Entry 2:
{
  "formula": "BeHgTe2",
  "functional": "PBE",
  "state": "optimized geometry",
  "e_above_lowest_polymorph_mev_per_atom": 21,
  "sg": "No. 1",
  "lattice_angstrom": [[7.4652, -0.0017, -0.0013], [1.2339, 4.1091, 0.0017], [1.1111, -0.3358, 7.5464]],
  "species": ["Be", "Be", "Te", "Te", "Te", "Te", "Hg", "Hg"],
  "fractional_positions": [[0.0590, 0.2456, 0.7591], [0.5776, 0.9877, 0.9856], [0.6738, 0.9383, 0.2788], [0.1517, 0.6996, 0.5969], [0.2295, 0.1618, 0.0170], [0.7091, 0.4217, 0.8385], [0.0757, 0.7392, 0.2407], [0.5555, 0.4971, 0.5147]]
}

Entry 3:
{
  "formula": "BeHgTe2",
  "functional": "PBE",
  "state": "optimized geometry",
  "e_above_lowest_polymorph_mev_per_atom": 301,
  "sg": "No. 166",
  "lattice_angstrom": [[7.6000, 0.0609, 0.0369], [6.5637, 3.8316, 0.0369], [6.5637, 1.8038, 3.3806]],
  "species": ["Be", "Te", "Te", "Hg"],
  "fractional_positions": [[0.2500, 0.2500, 0.2500], [0.9819, 0.9819, 0.9819], [0.5181, 0.5181, 0.5181], [0.7500, 0.7500, 0.7500]]
}

Entry 4:
{
  "formula": "BeHgTe2",
  "functional": "PBE",
  "state": "optimized geometry",
  "e_above_lowest_polymorph_mev_per_atom": 849,
  "sg": "No. 65",
  "lattice_angstrom": [[5.0532, 0.0194, 0.0000], [-1.0415, 4.9447, 0.0000], [0.0000, 0.0000, 3.9095]],
  "species": ["Be", "Te", "Te", "Hg"],
  "fractional_positions": [[0.5000, 0.0000, 0.5000], [0.0000, 0.0000, 0.0000], [0.5000, 0.5000, 0.0000], [0.0000, 0.5000, 0.5000]]
}

Entry 5:
{
  "formula": "BeHgTe2",
  "functional": "PBE",
  "state": "optimized geometry",
  "e_above_lowest_polymorph_mev_per_atom": 902,
  "sg": "No. 216",
  "lattice_angstrom": [[5.1739, 0.0000, 0.0000], [2.5869, 4.4807, 0.0000], [2.5869, 1.4936, 4.2244]],
  "species": ["Be", "Te", "Te", "Hg"],
  "fractional_positions": [[0.5000, 0.5000, 0.5000], [0.0000, 0.0000, 0.0000], [0.2500, 0.2500, 0.2500], [0.7500, 0.7500, 0.7500]]
}

Entry 6:
{
  "formula": "BeHgTe2",
  "functional": "PBE",
  "state": "optimized geometry",
  "e_above_lowest_polymorph_mev_per_atom": 542,
  "sg": "No. 166",
  "lattice_angstrom": [[2.0573, 0.0000, 11.6197], [-1.0286, 1.7817, 11.6197], [-1.0286, -1.7817, 11.6197]],
  "species": ["Be", "Te", "Te", "Hg"],
  "fractional_positions": [[0.0000, 0.0000, 0.0000], [0.0643, 0.0643, 0.0643], [0.9357, 0.9357, 0.9357], [0.5000, 0.5000, 0.5000]]
}

Entry 7:
{
  "formula": "BeHgTe2",
  "functional": "PBE",
  "state": "optimized geometry",
  "e_above_lowest_polymorph_mev_per_atom": 222,
  "sg": "No. 156",
  "lattice_angstrom": [[-1.4802, 2.0675, -3.4650], [-2.1280, 0.2529, 3.7255], [3.7461, 5.6278, 1.7577]],
  "species": ["Be", "Te", "Te", "Hg"],
  "fractional_positions": [[0.3333, 0.6667, 0.4196], [0.3333, 0.6667, 0.7688], [0.6667, 0.3333, 0.3118], [0.0000, 0.0000, 0.9548]]
}

Entry 8:
{
  "formula": "BeHgTe2",
  "functional": "PBE",
  "state": "optimized geometry",
  "e_above_lowest_polymorph_mev_per_atom": 308,
  "sg": "No. 166",
  "lattice_angstrom": [[2.3546, 0.0000, 8.1200], [-1.1773, 2.0392, 8.1200], [-1.1773, -2.0392, 8.1200]],
  "species": ["Be", "Te", "Te", "Hg"],
  "fractional_positions": [[0.5000, 0.5000, 0.5000], [0.8872, 0.8872, 0.8872], [0.1128, 0.1128, 0.1128], [0.0000, 0.0000, 0.0000]]
}

Entry 9:
{
  "formula": "BeHgTe2",
  "functional": "PBE",
  "state": "optimized geometry",
  "e_above_lowest_polymorph_mev_per_atom": 647,
  "sg": "No. 119",
  "lattice_angstrom": [[-8.9002, -2.6943, 0.0561], [-5.9609, -6.7682, -2.2662], [7.7958, 3.5765, 3.5932]],
  "species": ["Be", "Te", "Te", "Hg"],
  "fractional_positions": [[0.5000, 0.5000, 0.0000], [0.0000, 0.0000, 0.0000], [0.2500, 0.7500, 0.5000], [0.7500, 0.2500, 0.5000]]
}

Entry 10:
{
  "formula": "BeHgTe2",
  "functional": "PBE",
  "state": "optimized geometry",
  "e_above_lowest_polymorph_mev_per_atom": 154,
  "sg": "No. 62",
  "lattice_angstrom": [[11.5421, 0.0000, 0.0000], [0.0000, 4.1770, 0.0000], [0.0000, 0.0000, 12.3085]],
  "species": ["Be", "Be", "Be", "Be", "Te", "Te", "Te", "Te", "Te", "Te", "Te", "Te", "Hg", "Hg", "Hg", "Hg"],
  "fractional_positions": [[0.5597, 0.2500, 0.2740], [0.9403, 0.7500, 0.7740], [0.4403, 0.7500, 0.7260], [0.0597, 0.2500, 0.2260], [0.6531, 0.2500, 0.4444], [0.8469, 0.7500, 0.9444], [0.3469, 0.7500, 0.5556], [0.1531, 0.2500, 0.0556], [0.4692, 0.2500, 0.8230], [0.0308, 0.7500, 0.3230], [0.5308, 0.7500, 0.1770], [0.9692, 0.2500, 0.6770], [0.1959, 0.2500, 0.6089], [0.3041, 0.7500, 0.1089], [0.8041, 0.7500, 0.3911], [0.6959, 0.2500, 0.8911]]
}

Entry 11:
{
  "formula": "BeHgTe2",
  "functional": "PBE",
  "state": "optimized geometry",
  "e_above_lowest_polymorph_mev_per_atom": 37,
  "sg": "No. 5",
  "lattice_angstrom": [[6.3449, -0.0015, 0.0011], [0.0024, 4.2861, -0.0207], [-0.0027, 0.0227, 4.2857]],
  "species": ["Be", "Te", "Te", "Hg"],
  "fractional_positions": [[0.6000, 0.8206, 0.5609], [0.3944, 0.8221, 0.0610], [0.8053, 0.3207, 0.5623], [0.0998, 0.3228, 0.0630]]
}

Entry 12:
{
  "formula": "BeHgTe2",
  "functional": "PBE",
  "state": "optimized geometry",
  "e_above_lowest_polymorph_mev_per_atom": 816,
  "sg": "No. 140",
  "lattice_angstrom": [[-0.2251, 3.3644, 6.6100], [-0.0160, -6.6133, 3.3655], [3.4896, -1.5817, 5.0890]],
  "species": ["Be", "Be", "Te", "Te", "Te", "Te", "Hg", "Hg"],
  "fractional_positions": [[0.7500, 0.7500, 0.5000], [0.2500, 0.2500, 0.5000], [0.7849, 0.2849, 0.0000], [0.2151, 0.7151, 0.0000], [0.2849, 0.2151, 0.0000], [0.7151, 0.7849, 0.0000], [0.7500, 0.2500, 0.5000], [0.2500, 0.7500, 0.5000]]
}